The following is a DFT calculation (PBE) of Fe5Rh2 after structural relaxation.

Cell: 6.916 6.916 6.916 Å, 124.33 72.94 136.83°
Fractional coordinates of all 14 atoms:
Fe 0.033 0.250 0.783
Fe 0.131 0.717 0.848
Fe 0.250 0.250 0.000
Fe 0.369 0.217 0.587
Fe 0.467 0.250 0.217
Fe 0.533 0.750 0.783
Fe 0.631 0.783 0.413
Fe 0.750 0.750 0.000
Fe 0.869 0.283 0.152
Fe 0.967 0.750 0.217
Rh 0.096 0.327 0.423
Rh 0.404 0.827 0.231
Rh 0.596 0.173 0.769
Rh 0.904 0.673 0.577

Results
The value obtained for the density of states at the Fermi level is 17.3 states/eV/cell. The calculation puts the calculated total energy at -7.98 eV/atom. The energy of formation from the pure elements comes out at 0.17 eV per atom.